This record from OQMD via LeMat-Bulk describes a geometry-optimized NdNbNO structure. The functional is PBE-GGA.

Output
Symmetry ... P4/nmm (129)
E above lowest polymorph ... 0 meV/atom
Calculated volume ... 68.8 Å³/f.u.

Lattice parameters (Å, degrees): 4.068 4.068 8.317 90.00 90.00 90.00
Element x y z (fractional)
Nd 0.250 0.250 0.137
Nd 0.750 0.750 0.863
Nb 0.250 0.750 0.500
Nb 0.750 0.250 0.500
N 0.250 0.250 0.575
N 0.750 0.750 0.425
O 0.250 0.750 0.000
O 0.750 0.250 0.000

=====

This record from OQMD via LeMat-Bulk describes a geometry-optimized HoZnPd structure. The functional is PBE-GGA.

Output
Symmetry ... P-62m (189)
Calculated volume ... 58.7 Å³/f.u.
ΔE_f ... -0.76 eV/atom

Lattice parameters (Å, degrees): 7.276 7.276 3.842 90.00 90.00 120.00
Element x y z (fractional)
Ho 0.000 0.595 0.000
Ho 0.405 0.405 0.000
Ho 0.595 0.000 0.000
Zn 0.000 0.251 0.500
Zn 0.251 0.000 0.500
Zn 0.749 0.749 0.500
Pd 0.000 0.000 0.000
Pd 0.333 0.667 0.500
Pd 0.667 0.333 0.500

=====

This record from OQMD via LeMat-Bulk describes a geometry-optimized Tm2PbS3 structure. The functional is PBE-GGA.

Output
Symmetry ... P-3m1 (164)
DFT total energy ... -5.71 eV per atom
Calculated volume ... 145.2 Å³/f.u.

Lattice parameters (Å, degrees): 3.807 3.807 11.567 90.00 90.00 120.00
Element x y z (fractional)
Tm 0.333 0.667 0.144
Tm 0.667 0.333 0.856
Pb 0.000 0.000 0.500
S 0.000 0.000 0.000
S 0.333 0.667 0.731
S 0.667 0.333 0.269

=====

This record from OQMD via LeMat-Bulk describes a geometry-optimized Sm2GdGe7 structure. The functional is PBE-GGA.

Output
Symmetry ... Cmmm (65)
DFT total energy ... -5.19 eV per atom
Calculated volume ... 214.5 Å³/f.u.

Lattice parameters (Å, degrees): 12.500 12.500 4.234 90.00 90.00 161.08
Element x y z (fractional)
Sm 0.182 0.818 0.000
Sm 0.818 0.182 0.000
Gd 0.000 0.000 0.000
Ge 0.092 0.908 0.500
Ge 0.283 0.717 0.500
Ge 0.409 0.591 0.000
Ge 0.500 0.500 0.500
Ge 0.591 0.409 0.000
Ge 0.717 0.283 0.500
Ge 0.908 0.092 0.500

=====

This record from OQMD via LeMat-Bulk describes a geometry-optimized K2Hf2S5 structure. The functional is PBE-GGA.

Output
Symmetry ... C2/c (15)
DFT total energy ... -6.25 eV per atom
Calculated volume ... 242.2 Å³/f.u.

Lattice parameters (Å, degrees): 6.699 6.699 12.137 104.34 104.34 68.81
Element x y z (fractional)
K 0.042 0.369 0.311
K 0.369 0.042 0.811
K 0.631 0.958 0.189
K 0.958 0.631 0.689
Hf 0.247 0.568 0.058
Hf 0.432 0.753 0.442
Hf 0.568 0.247 0.558
Hf 0.753 0.432 0.942
S 0.149 0.247 0.037
S 0.193 0.807 0.250
S 0.247 0.149 0.537
S 0.354 0.609 0.887
S 0.391 0.646 0.613
S 0.609 0.354 0.387
S 0.646 0.391 0.113
S 0.753 0.851 0.463
S 0.807 0.193 0.750
S 0.851 0.753 0.963

=====

This record from OQMD via LeMat-Bulk describes a geometry-optimized SrLiTmSe3 structure. The functional is PBE-GGA.

Output
Symmetry ... Cmcm (63)
E above lowest polymorph ... 12 meV/atom
Calculated volume ... 148.3 Å³/f.u.

Lattice parameters (Å, degrees): 7.098 7.098 10.551 90.00 90.00 146.09
Element x y z (fractional)
Sr 0.250 0.750 0.750
Sr 0.750 0.250 0.250
Li 0.024 0.976 0.250
Li 0.976 0.024 0.750
Tm 0.500 0.500 0.000
Tm 0.500 0.500 0.500
Se 0.136 0.864 0.062
Se 0.136 0.864 0.438
Se 0.422 0.578 0.250
Se 0.578 0.422 0.750
Se 0.864 0.136 0.562
Se 0.864 0.136 0.938

=====

This record from OQMD via LeMat-Bulk describes a geometry-optimized RbNb4S5F structure. The functional is PBE-GGA.

Output
Symmetry ... P4/mmm (123)
DFT total energy ... -6.88 eV per atom
Calculated volume ... 210.7 Å³/f.u.

Lattice parameters (Å, degrees): 4.881 4.881 8.844 90.00 90.00 90.00
Element x y z (fractional)
Rb 0.000 0.000 0.000
Nb 0.000 0.500 0.500
Nb 0.500 0.000 0.500
Nb 0.500 0.500 0.271
Nb 0.500 0.500 0.729
S 0.000 0.000 0.500
S 0.000 0.500 0.226
S 0.000 0.500 0.774
S 0.500 0.000 0.226
S 0.500 0.000 0.774
F 0.500 0.500 0.000

=====

This record from OQMD via LeMat-Bulk describes a geometry-optimized Na2YScPd2Pb2 structure. The functional is PBE-GGA.

Output
Symmetry ... P-4m2 (115)
DFT total energy ... -4.55 eV per atom
Calculated volume ... 165.9 Å³/f.u.

Lattice parameters (Å, degrees): 4.890 4.890 6.939 90.00 90.00 90.00
Element x y z (fractional)
Na 0.000 0.500 0.240
Na 0.500 0.000 0.760
Y 0.000 0.000 0.500
Sc 0.500 0.500 0.000
Pd 0.000 0.500 0.760
Pd 0.500 0.000 0.240
Pb 0.000 0.000 0.000
Pb 0.500 0.500 0.500